# CaAl2Pt (GGA-PBE, optimized geometry)
# Raw total energy, eV/f.u.: -17.549
# Fermi-level density of states, states/eV/f.u.: 1.74
data_CaAl2Pt
_cell_length_a 3.305
_cell_length_b 4.311
_cell_length_c 6.008
_cell_angle_alpha 90.00
_cell_angle_beta 105.95
_cell_angle_gamma 90.00
_symmetry_space_group_name_H-M 'P 1 m 1'
_symmetry_Int_Tables_number 6
loop_
_symmetry_equiv_pos_as_xyz
'x,y,z'
'x,-y,z'
loop_
_atom_site_label
_atom_site_type_symbol
_atom_site_fract_x
_atom_site_fract_y
_atom_site_fract_z
Ca1 Ca 0.000 0.000 0.000
Al1 Al 0.308 0.500 0.621
Al2 Al 0.737 0.000 0.476
Pt1 Pt 0.631 0.500 0.266

# Ca2AlPt (GGA-PBE, optimized geometry)
# Raw total energy, eV/f.u.: -15.071
# Fermi-level density of states, states/eV/f.u.: 2.76
data_Ca2AlPt
_cell_length_a 3.8783
_cell_length_b 3.8783
_cell_length_c 25.3628
_cell_angle_alpha 90.00
_cell_angle_beta 90.00
_cell_angle_gamma 120.00
_symmetry_space_group_name_H-M 'R -3 m'
_symmetry_Int_Tables_number 166
_symmetry_space_group_name_Hall '-R 3 2"'
loop_
_atom_site_label
_atom_site_type_symbol
_atom_site_fract_x
_atom_site_fract_y
_atom_site_fract_z
Ca1 Ca 0.0000 0.0000 0.2360
Al1 Al 0.0000 0.0000 0.0000
Pt1 Pt 0.0000 0.0000 0.5000

# CaAl2Pt (GGA-PBE, optimized geometry)
# Raw total energy, eV/f.u.: -18.426
# Fermi-level density of states, states/eV/f.u.: 2.30
data_CaAl2Pt
_cell_length_a 7.484
_cell_length_b 4.316
_cell_length_c 5.804
_cell_angle_alpha 90.00
_cell_angle_beta 115.34
_cell_angle_gamma 90.00
_symmetry_space_group_name_H-M 'C 1 2/m 1'
_symmetry_Int_Tables_number 12
loop_
_symmetry_equiv_pos_as_xyz
'x,y,z'
'-x,-y,-z'
'-x,y,-z'
'x,-y,z'
'x+1/2,y+1/2,z'
'-x+1/2,-y+1/2,-z'
'-x+1/2,y+1/2,-z'
'x+1/2,-y+1/2,z'
loop_
_atom_site_label
_atom_site_type_symbol
_atom_site_fract_x
_atom_site_fract_y
_atom_site_fract_z
Ca1 Ca 0.000 0.000 0.000
Al1 Al 0.202 0.000 0.606
Pt1 Pt 0.000 0.500 0.500

# CaAlPt2 (GGA-PBE, optimized geometry)
# Raw total energy, eV/f.u.: -20.023
# Fermi-level density of states, states/eV/f.u.: 1.22
data_CaAlPt2
_cell_length_a 4.993
_cell_length_b 4.993
_cell_length_c 16.353
_cell_angle_alpha 90.00
_cell_angle_beta 90.00
_cell_angle_gamma 90.00
_symmetry_space_group_name_H-M 'I -4 2 d'
_symmetry_Int_Tables_number 122
_symmetry_space_group_name_Hall 'I -4 2bw'
loop_
_atom_site_label
_atom_site_type_symbol
_atom_site_fract_x
_atom_site_fract_y
_atom_site_fract_z
Ca1 Ca 0.000 0.000 0.000
Al1 Al 0.000 0.000 0.500
Pt1 Pt 0.059 0.250 0.625

# CaAlPt2 (GGA-PBE, optimized geometry)
# Raw total energy, eV/f.u.: -20.744
# Fermi-level density of states, states/eV/f.u.: 0.75
data_CaAlPt2
_cell_length_a 10.097
_cell_length_b 3.024
_cell_length_c 4.807
_cell_angle_alpha 90.00
_cell_angle_beta 103.51
_cell_angle_gamma 90.00
_symmetry_space_group_name_H-M 'C 1 m 1'
_symmetry_Int_Tables_number 8
loop_
_symmetry_equiv_pos_as_xyz
'x,y,z'
'x,-y,z'
'x+1/2,y+1/2,z'
'x+1/2,-y+1/2,z'
loop_
_atom_site_label
_atom_site_type_symbol
_atom_site_fract_x
_atom_site_fract_y
_atom_site_fract_z
Ca1 Ca 0.000 0.000 0.000
Al1 Al 0.281 0.500 0.372
Pt1 Pt 0.244 0.000 0.807
Pt2 Pt 0.498 0.000 0.492

# Ca3AlPt (GGA-PBE, optimized geometry)
# Raw total energy, eV/f.u.: -17.275
# Fermi-level density of states, states/eV/f.u.: 4.14
data_Ca3AlPt
_cell_length_a 5.495
_cell_length_b 5.495
_cell_length_c 5.495
_cell_angle_alpha 90.00
_cell_angle_beta 90.00
_cell_angle_gamma 90.00
_symmetry_space_group_name_H-M 'P m -3 m'
_symmetry_Int_Tables_number 221
_symmetry_space_group_name_Hall '-P 4 2 3'
loop_
_atom_site_label
_atom_site_type_symbol
_atom_site_fract_x
_atom_site_fract_y
_atom_site_fract_z
Ca1 Ca 0.000 0.000 0.500
Al1 Al 0.500 0.500 0.500
Pt1 Pt 0.000 0.000 0.000

# Ca3AlPt3 (GGA-PBE, optimized geometry)
# Raw total energy, eV/f.u.: -34.688
# Fermi-level density of states, states/eV/f.u.: 2.53
data_Ca3AlPt3
_cell_length_a 4.117
_cell_length_b 10.723
_cell_length_c 14.144
_cell_angle_alpha 90.00
_cell_angle_beta 90.00
_cell_angle_gamma 90.00
_symmetry_space_group_name_H-M 'C m c m'
_symmetry_Int_Tables_number 63
_symmetry_space_group_name_Hall '-C 2c 2'
loop_
_atom_site_label
_atom_site_type_symbol
_atom_site_fract_x
_atom_site_fract_y
_atom_site_fract_z
Ca1 Ca 0.000 0.005 0.250
Ca2 Ca 0.000 0.288 0.107
Al1 Al 0.000 0.000 0.000
Pt1 Pt 0.000 0.292 0.750
Pt2 Pt 0.000 0.424 0.585

# CaAl2Pt (GGA-PBE, optimized geometry)
# Raw total energy, eV/f.u.: -17.091
# Fermi-level density of states, states/eV/f.u.: 1.75
data_CaAl2Pt
_cell_length_a 5.000
_cell_length_b 5.000
_cell_length_c 16.654
_cell_angle_alpha 90.00
_cell_angle_beta 90.00
_cell_angle_gamma 90.00
_symmetry_space_group_name_H-M 'I -4 2 d'
_symmetry_Int_Tables_number 122
_symmetry_space_group_name_Hall 'I -4 2bw'
loop_
_atom_site_label
_atom_site_type_symbol
_atom_site_fract_x
_atom_site_fract_y
_atom_site_fract_z
Ca1 Ca 0.000 0.000 0.000
Al1 Al 0.006 0.250 0.625
Pt1 Pt 0.000 0.000 0.500